<1>
Tb5Sm2Er2: optimized geometry, PBE.

Summary:
SG ... Ima2
ρ ... 8.07 g/cm³
V ... 32.70 A^3/atom

Cell lengths 10.062, 10.062, 10.062 Å; angles 84.82, 108.25, 141.00 degrees
Atoms (fractional coordinates):
Tb 0.048 0.457 0.877
Tb 0.048 0.671 0.091
Tb 0.062 0.055 0.507
Tb 0.249 0.051 0.301
Tb 0.249 0.449 0.698
Tb 0.548 0.555 0.493
Tb 0.580 0.171 0.123
Tb 0.580 0.957 0.909
Tb 0.751 0.551 0.302
Tb 0.751 0.949 0.699
Sm 0.594 0.852 0.242
Sm 0.609 0.352 0.758
Sm 0.682 0.182 0.500
Sm 0.682 0.682 0.000
Er 0.147 0.275 0.126
Er 0.147 0.521 0.372
Er 0.149 0.021 0.874
Er 0.149 0.775 0.628

***

<2>
Tb5Sm2Er2: optimized geometry, PBE.

Summary:
SG ... C2/m
ρ ... 8.18 g/cm³
V ... 32.25 A^3/atom

Cell lengths 8.703, 8.703, 6.322 Å; angles 103.96, 103.96, 38.83 degrees
Atoms (fractional coordinates):
Tb 0.000 0.000 0.000
Tb 0.209 0.209 0.072
Tb 0.320 0.320 0.639
Tb 0.680 0.680 0.361
Tb 0.791 0.791 0.928
Sm 0.437 0.437 0.212
Sm 0.563 0.563 0.788
Er 0.103 0.103 0.523
Er 0.897 0.897 0.477

***

<2> has the most favorable energy; the next structure is 110 meV per atom above.

***

<1>
Tb12Sm5Er2: optimized geometry, PBE.

Summary:
SG ... P-1
ρ ... 8.01 g/cm³
V ... 32.68 A^3/atom

Cell lengths 6.038, 9.773, 11.280 Å; angles 70.12, 82.89, 88.82 degrees
Atoms (fractional coordinates):
Tb 0.040 0.184 0.157
Tb 0.074 0.816 0.541
Tb 0.165 0.818 0.225
Tb 0.387 0.403 0.288
Tb 0.427 0.321 0.608
Tb 0.429 0.682 0.986
Tb 0.571 0.318 0.014
Tb 0.573 0.679 0.392
Tb 0.613 0.597 0.712
Tb 0.835 0.182 0.775
Tb 0.926 0.184 0.459
Tb 0.960 0.816 0.843
Sm 0.000 0.500 0.500
Sm 0.100 0.463 0.845
Sm 0.497 0.956 0.668
Sm 0.503 0.044 0.332
Sm 0.900 0.537 0.155
Er 0.282 0.065 0.921
Er 0.718 0.935 0.079

***

<2>
Tb12Sm5Er2: optimized geometry, PBE.

Summary:
SG ... C2/m
ρ ... 7.94 g/cm³
V ... 32.95 A^3/atom

Cell lengths 9.085, 9.085, 8.658 Å; angles 92.06, 92.06, 61.25 degrees
Atoms (fractional coordinates):
Tb 0.057 0.057 0.339
Tb 0.062 0.677 0.326
Tb 0.172 0.532 0.761
Tb 0.323 0.938 0.674
Tb 0.428 0.428 0.125
Tb 0.468 0.828 0.239
Tb 0.532 0.172 0.761
Tb 0.572 0.572 0.875
Tb 0.677 0.062 0.326
Tb 0.828 0.468 0.239
Tb 0.938 0.323 0.674
Tb 0.943 0.943 0.661
Sm 0.207 0.207 0.025
Sm 0.269 0.269 0.430
Sm 0.500 0.500 0.500
Sm 0.731 0.731 0.570
Sm 0.793 0.793 0.975
Er 0.172 0.828 0.000
Er 0.828 0.172 0.000

***

<1> has the most favorable energy; the next structure is 5 meV per atom above.

***

<1>
TbSm3Er: optimized geometry, PBE.

Summary:
SG ... P2_1/m
ρ ... 7.25 g/cm³
V ... 35.62 A^3/atom

Cell lengths 3.622, 11.739, 8.569 Å; angles 90.00, 102.17, 90.00 degrees
Atoms (fractional coordinates):
Tb 0.014 0.250 0.029
Tb 0.986 0.750 0.971
Sm 0.150 0.502 0.299
Sm 0.150 0.998 0.299
Sm 0.312 0.750 0.625
Sm 0.688 0.250 0.375
Sm 0.850 0.002 0.701
Sm 0.850 0.498 0.701
Er 0.349 0.250 0.699
Er 0.651 0.750 0.301

***

<2>
TbSm3Er: optimized geometry, PBE.

Summary:
SG ... P2_1/m
ρ ... 7.81 g/cm³
V ... 33.05 A^3/atom

Cell lengths 6.306, 5.750, 9.644 Å; angles 90.00, 109.07, 90.00 degrees
Atoms (fractional coordinates):
Tb 0.135 0.250 0.100
Tb 0.865 0.750 0.900
Sm 0.067 0.750 0.299
Sm 0.333 0.250 0.500
Sm 0.467 0.750 0.101
Sm 0.533 0.250 0.899
Sm 0.667 0.750 0.500
Sm 0.933 0.250 0.701
Er 0.265 0.750 0.701
Er 0.735 0.250 0.299

***

<2> has the most favorable energy; the next structure is 280 meV per atom above.

***

<1>
Tb2SmEr4: optimized geometry, PBE.

Summary:
SG ... P2_1/m
ρ ... 8.56 g/cm³
V ... 31.51 A^3/atom

Cell lengths 6.019, 6.564, 11.512 Å; angles 90.00, 104.09, 90.00 degrees
Atoms (fractional coordinates):
Tb 0.101 0.250 0.490
Tb 0.340 0.750 0.051
Tb 0.660 0.250 0.949
Tb 0.899 0.750 0.510
Sm 0.462 0.750 0.637
Sm 0.538 0.250 0.363
Er 0.156 0.007 0.790
Er 0.156 0.493 0.790
Er 0.221 0.250 0.079
Er 0.355 0.750 0.335
Er 0.645 0.250 0.665
Er 0.779 0.750 0.921
Er 0.844 0.507 0.210
Er 0.844 0.993 0.210

***

<2>
Tb2SmEr4: optimized geometry, PBE.

Summary:
SG ... C2/m
ρ ... 8.57 g/cm³
V ... 31.48 A^3/atom

Cell lengths 8.481, 8.481, 8.700 Å; angles 118.93, 118.93, 23.90 degrees
Atoms (fractional coordinates):
Tb 0.070 0.070 0.430
Tb 0.930 0.930 0.570
Sm 0.000 0.000 0.000
Er 0.295 0.295 0.706
Er 0.356 0.356 0.163
Er 0.644 0.644 0.837
Er 0.705 0.705 0.294

***

<2> has the most favorable energy; the next structure is 93 meV per atom above.

***

<1>
TbSm2Er9: optimized geometry, PBE.

Summary:
SG ... P4/mmm
ρ ... 8.74 g/cm³
V ... 31.10 A^3/atom

Cell lengths 4.992, 4.992, 14.976 Å; angles 90.00, 90.00, 90.00 degrees
Atoms (fractional coordinates):
Tb 0.000 0.000 0.000
Sm 0.000 0.000 0.333
Sm 0.000 0.000 0.667
Er 0.000 0.500 0.166
Er 0.000 0.500 0.500
Er 0.000 0.500 0.834
Er 0.500 0.000 0.166
Er 0.500 0.000 0.500
Er 0.500 0.000 0.834
Er 0.500 0.500 0.000
Er 0.500 0.500 0.333
Er 0.500 0.500 0.667

***

<2>
TbSm2Er9: optimized geometry, PBE.

Summary:
SG ... P6/mmm
ρ ... 8.68 g/cm³
V ... 31.33 A^3/atom

Cell lengths 11.162, 11.162, 3.484 Å; angles 90.00, 90.00, 120.00 degrees
Atoms (fractional coordinates):
Tb 0.000 0.000 0.000
Sm 0.333 0.667 0.000
Sm 0.667 0.333 0.000
Er 0.000 0.500 0.000
Er 0.175 0.351 0.500
Er 0.175 0.825 0.500
Er 0.351 0.175 0.500
Er 0.500 0.000 0.000
Er 0.500 0.500 0.000
Er 0.649 0.825 0.500
Er 0.825 0.175 0.500
Er 0.825 0.649 0.500

***

<1> has the most favorable energy; the next structure is 40 meV per atom above.